Arrangement 1

DFT (PBE) results for an optimized crystal structure of ReP2WS.

Properties
Mass density (kg/m³): 7494
Size of the total moment (Bohr magnetons per cell): 4.1
Fermi-level density of states (states/eV/f.u.): 2.6

Unit cell a=4.782 b=4.782 c=4.497 alpha=90.00 beta=90.00 gamma=90.00
Positions (direct):
Re (0.000, 0.000, 0.000)
P (0.000, 0.500, 0.500)
P (0.500, 0.000, 0.500)
W (0.500, 0.500, 0.500)
S (0.500, 0.500, 0.000)



Arrangement 2

DFT (PBE) results for an optimized crystal structure of ReP2WS.

Properties
Mass density (kg/m³): 7911
Size of the total moment (Bohr magnetons per cell): 3.3
Fermi-level density of states (states/eV/f.u.): 3.6

Unit cell a=4.634 b=4.634 c=4.536 alpha=90.00 beta=90.00 gamma=90.00
Positions (direct):
Re (0.000, 0.000, 0.000)
P (0.000, 0.500, 0.000)
P (0.500, 0.000, 0.000)
W (0.500, 0.500, 0.500)
S (0.000, 0.000, 0.500)



Most stable structure among those shown: arrangement 1.